1.
Sc3PbN | PBE | optimized geometry

Values from the calculation:
The calculation puts the calculated density at 6.27 g/cm³. As for the formation energy without anion corrections: -0.34 eV/atom. For the magnetization, the calculation gives 1.980 μB per formula unit. The total energy is -65.4 eV/cell. As for the space-group type: P6_3/mmc, No. 194.

Structure (POSCAR):
```
Sc3PbN
1.0
4.274 -2.468 0.000
0.000 4.935 0.000
0.000 0.000 8.948
Pb Sc N
2 6 2
Cartesian
1.425 2.468 6.711 Pb
2.849 0.000 2.237 Pb
0.000 0.000 2.237 Sc
0.000 0.000 6.711 Sc
1.425 2.468 0.672 Sc
1.425 2.468 3.802 Sc
2.849 0.000 5.146 Sc
2.849 0.000 8.276 Sc
0.000 0.000 0.000 N
0.000 0.000 4.474 N
```

2.
Sc5Pb3N | PBE | optimized geometry

Values from the calculation:
The calculation puts the calculated density at 7.44 g/cm³. As for the formation energy without anion corrections: -0.76 eV/atom. For the magnetization, the calculation gives 0.176 μB per formula unit. The total energy is -115.9 eV/cell. As for the space-group type: P6_3/mcm, No. 193.

Structure (POSCAR):
```
Sc5Pb3N
1.0
6.013 0.000 0.000
0.000 7.439 -4.295
0.000 0.000 8.590
Sc Pb N
10 6 2
Cartesian
0.000 2.480 4.295 Sc
3.007 4.960 0.000 Sc
0.000 4.960 0.000 Sc
3.007 2.480 4.295 Sc
4.510 5.915 -3.415 Sc
4.510 1.524 0.880 Sc
4.510 0.000 6.830 Sc
1.503 1.524 -0.880 Sc
1.503 5.915 3.415 Sc
1.503 0.000 1.760 Sc
4.510 2.979 -1.720 Pb
4.510 4.460 2.575 Pb
4.510 0.000 3.440 Pb
1.503 4.460 -2.575 Pb
1.503 2.979 1.720 Pb
1.503 0.000 5.150 Pb
0.000 0.000 0.000 N
3.007 0.000 0.000 N
```

3.
Sc3PbN | PBE | optimized geometry

Values from the calculation:
The calculation puts the calculated density at 5.41 g/cm³. As for the formation energy without anion corrections: -0.49 eV/atom. For the magnetization, the calculation gives 0.000 μB per formula unit. The total energy is -66.9 eV/cell. As for the space-group type: I-4m2, No. 119.

Structure (POSCAR):
```
Sc3PbN
1.0
6.156 0.000 0.000
0.000 6.156 0.000
3.078 3.078 5.770
Pb Sc N
2 6 2
Cartesian
6.156 3.078 4.474 Pb
6.156 3.078 1.296 Pb
1.517 6.156 1.416 Sc
3.078 7.716 4.353 Sc
3.078 4.595 4.353 Sc
4.639 6.156 1.416 Sc
3.078 3.078 1.487 Sc
6.156 6.156 4.283 Sc
0.000 0.000 0.000 N
3.078 6.156 2.885 N
```

4.
Sc2PbN | PBE | optimized geometry

Values from the calculation:
The calculation puts the calculated density at 7.25 g/cm³. As for the formation energy without anion corrections: -1.17 eV/atom. For the magnetization, the calculation gives 0.000 μB per formula unit. The total energy is -29.4 eV/cell. As for the space-group type: C2/m, No. 12.

Structure (POSCAR):
```
Sc2PbN
1.0
-1.233 -3.045 0.642
3.240 0.368 -0.757
-0.174 1.633 7.412
Sc Pb N
2 1 1
Cartesian
-0.205 -0.276 2.663 Sc
2.039 -0.769 4.635 Sc
1.004 -1.338 -0.057 Pb
1.533 1.000 3.328 N
```

5.
Sc3PbN | PBE | optimized geometry

Values from the calculation:
The calculation puts the calculated density at 4.75 g/cm³. As for the formation energy without anion corrections: 0.48 eV/atom. For the magnetization, the calculation gives 0.000 μB per formula unit. The total energy is -57.2 eV/cell. As for the space-group type: I-4m2, No. 119.

Structure (POSCAR):
```
Sc3PbN
1.0
4.335 0.000 0.000
0.000 4.335 0.000
2.167 2.167 13.239
Pb Sc N
2 6 2
Cartesian
0.000 0.000 0.000 Pb
2.167 4.335 6.619 Pb
3.290 4.335 2.894 Sc
2.167 3.213 10.345 Sc
2.167 5.457 10.345 Sc
1.045 4.335 2.894 Sc
2.167 2.167 4.687 Sc
4.335 4.335 8.552 Sc
4.335 2.167 9.616 N
4.335 2.167 3.623 N
```

6.
Sc2PbN | PBE | optimized geometry

Values from the calculation:
The calculation puts the calculated density at 6.74 g/cm³. As for the formation energy without anion corrections: 0.32 eV/atom. For the magnetization, the calculation gives 0.000 μB per formula unit. The total energy is -23.4 eV/cell. As for the space-group type: Fm-3m, No. 225.

Structure (POSCAR):
```
Sc2PbN
1.0
0.000 3.371 3.371
3.371 0.000 3.371
3.371 3.371 0.000
Pb Sc N
1 2 1
Cartesian
3.371 3.371 3.371 Pb
1.685 1.685 1.685 Sc
5.056 5.056 5.056 Sc
0.000 0.000 0.000 N
```

7.
ScPb3N | PBE | optimized geometry

Values from the calculation:
The calculation puts the calculated density at 6.19 g/cm³. As for the formation energy without anion corrections: 1.29 eV/atom. For the magnetization, the calculation gives 2.824 μB per formula unit. The total energy is -19.3 eV/cell. As for the space-group type: Pm-3m, No. 221. The energy above the most stable polymorph in this dataset comes out at 784 meV/atom.

Structure (POSCAR):
```
ScPb3N
1.0
-1.447 2.336 -4.963
-5.399 -1.512 0.863
-0.967 4.943 2.609
Pb Sc N
3 1 1
Cartesian
-2.699 -0.756 0.431 Pb
-0.484 2.472 1.304 Pb
-0.723 1.168 -2.481 Pb
0.000 0.000 0.000 Sc
-3.906 2.884 -0.746 N
```

8.
Sc3PbN | PBE | optimized geometry

Values from the calculation:
The calculation puts the calculated density at 5.55 g/cm³. As for the formation energy without anion corrections: -0.81 eV/atom. For the magnetization, the calculation gives 0.000 μB per formula unit. The total energy is -140.3 eV/cell. As for the space-group type: Imma, No. 74.

Structure (POSCAR):
```
Sc3PbN
1.0
4.860 0.000 0.000
0.000 12.617 0.000
0.000 0.000 6.952
Pb Sc N
4 12 4
Cartesian
0.000 0.000 3.476 Pb
2.430 6.309 0.000 Pb
2.430 0.000 0.000 Pb
0.000 6.309 3.476 Pb
0.000 11.025 6.280 Sc
2.430 4.716 2.804 Sc
2.430 1.592 2.804 Sc
4.860 4.716 0.672 Sc
4.860 1.592 0.672 Sc
2.430 7.901 4.148 Sc
2.430 11.025 4.148 Sc
0.000 7.901 6.280 Sc
2.430 3.154 6.218 Sc
0.001 9.463 2.742 Sc
2.431 9.463 0.733 Sc
4.860 3.154 4.209 Sc
2.430 3.154 4.153 N
0.000 9.463 0.677 N
2.430 9.463 2.798 N
4.860 3.154 6.274 N
```

9.
Sc3PbN | PBE | optimized geometry

Values from the calculation:
The calculation puts the calculated density at 6.03 g/cm³. As for the formation energy without anion corrections: -0.92 eV/atom. For the magnetization, the calculation gives 0.000 μB per formula unit. The total energy is -71.2 eV/cell. As for the space-group type: P2_1/m, No. 11.

Structure (POSCAR):
```
Sc3PbN
1.0
-1.499 1.629 2.542
-6.575 -4.190 -1.193
2.547 -5.048 4.739
Sc Pb N
6 2 2
Cartesian
-5.426 -4.812 1.499 Sc
-1.954 -0.316 2.901 Sc
-0.690 -2.174 4.837 Sc
-0.966 -5.391 4.502 Sc
-2.229 -3.533 2.566 Sc
-4.068 -5.085 4.711 Sc
-4.742 -1.749 2.175 Pb
-4.751 -8.148 4.036 Pb
-2.356 -3.657 4.806 N
-0.563 -2.050 2.597 N
```

10.
Sc5Pb2N | PBE | optimized geometry

Values from the calculation:
The calculation puts the calculated density at 6.42 g/cm³. As for the formation energy without anion corrections: -0.74 eV/atom. For the magnetization, the calculation gives 0.000 μB per formula unit. The total energy is -213.4 eV/cell. As for the space-group type: Pnma, No. 62. The energy above the most stable polymorph in this dataset comes out at 0 meV/atom.

Structure (POSCAR):
```
Sc5Pb2N
1.0
-2.388 5.241 -2.619
-5.868 -4.329 -3.312
-7.557 1.964 10.822
Sc Pb N
20 8 4
Cartesian
-6.657 1.061 -3.270 Sc
-9.156 1.815 8.161 Sc
-9.755 -0.956 3.161 Sc
-6.058 3.833 1.731 Sc
-11.715 1.549 6.041 Sc
-4.098 1.327 -1.150 Sc
-9.017 -0.322 0.037 Sc
-2.935 -1.225 0.125 Sc
-6.796 3.198 4.854 Sc
-12.878 4.101 4.766 Sc
-7.959 5.750 3.579 Sc
-7.854 -2.873 1.312 Sc
-1.194 2.620 -1.309 Sc
-7.907 1.438 2.446 Sc
0.000 0.000 0.000 Sc
-6.713 -1.182 3.755 Sc
-13.469 1.332 3.485 Sc
-2.344 1.544 1.407 Sc
-6.004 -0.432 0.790 Sc
-9.809 3.308 4.102 Sc
-7.188 2.182 -0.542 Pb
-8.625 0.694 5.433 Pb
-12.257 -1.289 4.777 Pb
-3.556 4.165 0.115 Pb
-11.003 1.522 1.616 Pb
-4.811 1.354 3.276 Pb
-5.203 -1.471 -2.020 Pb
-10.610 4.347 6.911 Pb
-13.749 2.229 5.535 N
-2.064 0.647 -0.644 N
-7.937 -0.754 1.908 N
-7.877 3.630 2.984 N
```

11.
Sc3PbN | PBE | optimized geometry

Values from the calculation:
The calculation puts the calculated density at 5.51 g/cm³. As for the formation energy without anion corrections: -0.72 eV/atom. For the magnetization, the calculation gives 0.400 μB per formula unit. The total energy is -138.6 eV/cell. As for the space-group type: C2/c, No. 15.

Structure (POSCAR):
```
Sc3PbN
1.0
12.200 0.000 -0.666
5.187 4.840 -3.917
-5.187 4.840 3.917
Pb Sc N
4 12 4
Cartesian
6.557 3.090 1.459 Pb
5.643 6.589 -2.125 Pb
11.744 3.297 -2.458 Pb
0.457 6.383 1.792 Pb
4.707 4.068 -0.721 Sc
1.393 8.907 0.388 Sc
7.494 5.611 0.055 Sc
10.807 0.772 -1.054 Sc
2.085 2.348 -0.483 Sc
4.016 7.188 0.150 Sc
10.116 7.331 -0.182 Sc
8.185 2.492 -0.816 Sc
2.551 4.275 2.055 Sc
-1.638 4.275 1.529 Sc
9.649 5.404 -2.721 Sc
13.838 5.404 -2.195 Sc
2.785 4.323 -0.134 N
3.315 9.163 -0.198 N
9.415 5.356 -0.531 N
8.886 0.517 -0.467 N
```

12.
Sc4PbN | PBE | optimized geometry

Values from the calculation:
The calculation puts the calculated density at 5.41 g/cm³. As for the formation energy without anion corrections: -0.75 eV/atom. For the magnetization, the calculation gives 0.000 μB per formula unit. The total energy is -83.7 eV/cell. As for the space-group type: C2/c, No. 15.

Structure (POSCAR):
```
Sc4PbN
1.0
5.366 0.000 0.000
0.000 6.579 0.341
-2.683 -2.359 6.855
Sc Pb N
8 2 2
Cartesian
0.268 -1.354 5.328 Sc
2.951 2.284 1.698 Sc
2.414 5.573 1.869 Sc
-0.268 1.935 5.499 Sc
2.834 3.850 4.408 Sc
0.151 3.659 2.959 Sc
-0.151 0.370 2.788 Sc
2.531 0.561 4.237 Sc
5.019 4.934 0.256 Pb
-2.337 -0.715 6.940 Pb
1.341 -1.179 3.427 N
-1.341 2.110 3.598 N
```